Record 1
{"formula": "Pm2Sm7Er4", "functional": "PBE", "state": "relaxed", "lattice_angstrom": [[-1.2999, -7.8742, 5.1871], [3.9539, 6.6058, -12.6593], [6.0648, 0.5854, 1.2096]], "species": ["Pm", "Pm", "Sm", "Sm", "Sm", "Sm", "Sm", "Sm", "Sm", "Er", "Er", "Er", "Er"], "frac_coords": [[0.6906, 0.3069, 0.8456], [0.3094, 0.6931, 0.1544], [0.2309, 0.7693, 0.6137], [0.7691, 0.2307, 0.3863], [0.0000, 0.0000, 0.0000], [0.8482, 0.1546, 0.9248], [0.1518, 0.8454, 0.0752], [0.4619, 0.5386, 0.2316], [0.5381, 0.4614, 0.7684], [0.0757, 0.9238, 0.5375], [0.9243, 0.0762, 0.4625], [0.6114, 0.3827, 0.3075], [0.3886, 0.6173, 0.6925]], "space_group": "No. 2", "dos_at_fermi_per_ev_atom": 1.24, "total_magnetization_mub_per_atom": 0.00, "e_tot_ev_per_cell": -60.603}

=====

Record 2
{"formula": "Pm5Sm5Er2", "functional": "PBE", "state": "relaxed", "lattice_angstrom": [[4.9988, 0.0000, 1.0682], [2.2019, 7.5463, 1.9263], [0.2999, 0.6193, 10.8269]], "species": ["Pm", "Pm", "Pm", "Pm", "Pm", "Sm", "Sm", "Sm", "Sm", "Sm", "Er", "Er"], "frac_coords": [[0.5000, 0.5000, 0.5000], [0.3332, 0.3336, 0.0001], [0.4176, 0.9150, 0.2498], [0.5824, 0.0850, 0.7502], [0.6668, 0.6664, 0.9999], [0.8340, 0.8321, 0.4999], [0.2515, 0.7484, 0.7486], [0.7485, 0.2516, 0.2514], [0.1660, 0.1679, 0.5001], [0.0000, 0.0000, 0.0000], [0.9163, 0.4170, 0.7504], [0.0837, 0.5830, 0.2496]], "space_group": "No. 12", "dos_at_fermi_per_ev_atom": 1.48, "total_magnetization_mub_per_atom": 0.00, "e_tot_ev_per_cell": -56.292}

=====

Record 3
{"formula": "PmSm2Er2", "functional": "PBE", "state": "relaxed", "lattice_angstrom": [[-1.4026, -4.3640, -4.3330], [5.5030, -2.6408, 1.5905], [-5.8457, -1.0003, 7.1971]], "species": ["Pm", "Pm", "Sm", "Sm", "Sm", "Sm", "Er", "Er", "Er", "Er"], "frac_coords": [[0.6810, 0.9310, 0.2500], [0.3190, 0.0690, 0.7500], [0.4401, 0.3690, 0.1596], [0.2095, 0.7806, 0.3404], [0.5599, 0.6310, 0.8404], [0.7905, 0.2194, 0.6596], [0.8810, 0.2500, 0.0455], [0.2046, 0.3356, 0.4545], [0.1190, 0.7500, 0.9545], [0.7954, 0.6644, 0.5455]], "space_group": "No. 15", "dos_at_fermi_per_ev_atom": 1.33, "total_magnetization_mub_per_atom": 0.00, "e_tot_ev_per_cell": -45.376}

=====

Record 4
{"formula": "PmSm4Er6", "functional": "PBE", "state": "relaxed", "lattice_angstrom": [[7.7284, 0.0000, 0.0000], [0.0000, 7.7284, 0.0000], [-3.8642, -3.8642, 6.4501]], "species": ["Pm", "Sm", "Sm", "Sm", "Sm", "Er", "Er", "Er", "Er", "Er", "Er"], "frac_coords": [[0.5000, 0.5000, 0.0000], [0.0972, 0.7533, 0.8505], [0.9028, 0.9028, 0.1495], [0.7533, 0.0972, 0.8505], [0.2467, 0.2467, 0.1495], [0.9362, 0.4330, 0.3692], [0.4330, 0.9362, 0.3692], [0.5670, 0.5670, 0.6308], [0.0000, 0.5000, 0.0000], [0.0638, 0.0638, 0.6308], [0.5000, 0.0000, 0.0000]], "space_group": "No. 121", "dos_at_fermi_per_ev_atom": 1.44, "total_magnetization_mub_per_atom": 0.00, "e_tot_ev_per_cell": -45.978}

=====

Record 5
{"formula": "PmSm2Er5", "functional": "PBE", "state": "relaxed", "lattice_angstrom": [[5.0178, 0.0000, 0.0000], [0.0000, 7.1110, 0.0000], [0.0000, 0.0000, 14.2270]], "species": ["Pm", "Pm", "Sm", "Sm", "Sm", "Sm", "Er", "Er", "Er", "Er", "Er", "Er", "Er", "Er", "Er", "Er"], "frac_coords": [[0.0000, 0.0000, 0.5000], [0.0000, 0.5000, 0.0000], [0.5000, 0.2522, 0.6259], [0.5000, 0.7478, 0.3741], [0.5000, 0.2478, 0.1259], [0.5000, 0.7522, 0.8741], [0.0000, 0.0000, 0.0000], [0.0000, 0.5000, 0.5000], [0.0000, 0.5022, 0.7492], [0.0000, 0.4978, 0.2508], [0.0000, 0.9978, 0.2492], [0.0000, 0.0022, 0.7508], [0.5000, 0.2515, 0.8745], [0.5000, 0.7485, 0.1255], [0.5000, 0.2485, 0.3745], [0.5000, 0.7515, 0.6255]], "space_group": "No. 55", "dos_at_fermi_per_ev_atom": 1.27, "total_magnetization_mub_per_atom": 0.00, "e_tot_ev_per_cell": -73.703}

=====

Record 6
{"formula": "PmSm3Er3", "functional": "PBE", "state": "relaxed", "lattice_angstrom": [[5.7340, 0.0000, 0.0000], [0.0000, 9.6039, 0.0000], [0.0000, -4.8019, 8.3172]], "species": ["Pm", "Pm", "Sm", "Sm", "Sm", "Sm", "Sm", "Sm", "Er", "Er", "Er", "Er", "Er", "Er"], "frac_coords": [[0.2500, 0.6667, 0.3333], [0.7500, 0.3333, 0.6667], [0.7500, 0.6206, 0.5247], [0.7500, 0.4753, 0.0959], [0.7500, 0.9041, 0.3794], [0.2500, 0.3794, 0.4753], [0.2500, 0.5247, 0.9041], [0.2500, 0.0959, 0.6206], [0.2500, 0.8131, 0.7664], [0.2500, 0.2336, 0.0468], [0.2500, 0.9532, 0.1869], [0.7500, 0.1869, 0.2336], [0.7500, 0.7664, 0.9532], [0.7500, 0.0468, 0.8131]], "space_group": "No. 176", "dos_at_fermi_per_ev_atom": 1.76, "total_magnetization_mub_per_atom": 0.00, "e_tot_ev_per_cell": -64.924}

=====

Record 7
{"formula": "Pm7Sm2Er", "functional": "PBE", "state": "relaxed", "lattice_angstrom": [[5.3867, 0.0000, 0.0000], [0.0000, 9.6491, -0.8073], [0.0000, -5.0737, 8.2471]], "species": ["Pm", "Pm", "Pm", "Pm", "Pm", "Pm", "Pm", "Sm", "Sm", "Er"], "frac_coords": [[0.0000, 0.7973, 0.2027], [0.0000, 0.2027, 0.7973], [0.5000, 0.0718, 0.2888], [0.5000, 0.9282, 0.7112], [0.5000, 0.2888, 0.0718], [0.5000, 0.7112, 0.9282], [0.5000, 0.5000, 0.5000], [0.5000, 0.7048, 0.2952], [0.5000, 0.2952, 0.7048], [0.0000, 0.0000, 0.0000]], "space_group": "No. 65", "dos_at_fermi_per_ev_atom": 1.48, "total_magnetization_mub_per_atom": 0.00, "e_tot_ev_per_cell": -40.868}

=====

Record 8
{"formula": "PmSm3Er4", "functional": "PBE", "state": "relaxed", "lattice_angstrom": [[-0.4053, -5.5003, -3.0039], [7.1897, 0.1044, -1.1612], [1.6699, -5.4999, 9.8454]], "species": ["Pm", "Pm", "Sm", "Sm", "Sm", "Sm", "Sm", "Sm", "Er", "Er", "Er", "Er", "Er", "Er", "Er", "Er"], "frac_coords": [[0.1467, 0.3724, 0.0000], [0.6467, 0.6276, 0.5000], [0.6464, 0.6277, 0.0000], [0.9822, 0.6279, 0.2499], [0.4822, 0.3721, 0.2501], [0.1464, 0.3723, 0.5000], [0.4822, 0.3721, 0.7499], [0.9822, 0.6279, 0.7501], [0.1478, 0.8785, 0.0000], [0.6479, 0.1215, 0.0000], [0.9811, 0.1215, 0.2503], [0.4811, 0.8785, 0.2497], [0.1479, 0.8785, 0.5000], [0.6478, 0.1215, 0.5000], [0.4811, 0.8785, 0.7503], [0.9811, 0.1215, 0.7497]], "space_group": "No. 31", "dos_at_fermi_per_ev_atom": 1.83, "total_magnetization_mub_per_atom": 0.00, "e_tot_ev_per_cell": -73.978}

=====

Record 9
{"formula": "Pm4SmEr6", "functional": "PBE", "state": "relaxed", "lattice_angstrom": [[7.7274, 0.0000, 0.0000], [0.0000, 7.7274, 0.0000], [-3.8637, -3.8637, 6.4732]], "species": ["Pm", "Pm", "Pm", "Pm", "Sm", "Er", "Er", "Er", "Er", "Er", "Er"], "frac_coords": [[0.0981, 0.7515, 0.8496], [0.9019, 0.9019, 0.1504], [0.7515, 0.0981, 0.8496], [0.2485, 0.2485, 0.1504], [0.5000, 0.5000, 0.0000], [0.9342, 0.4339, 0.3680], [0.4339, 0.9342, 0.3680], [0.5661, 0.5661, 0.6320], [0.0000, 0.5000, 0.0000], [0.0659, 0.0659, 0.6320], [0.5000, 0.0000, 0.0000]], "space_group": "No. 121", "dos_at_fermi_per_ev_atom": 1.39, "total_magnetization_mub_per_atom": 0.00, "e_tot_ev_per_cell": -46.067}

=====

Record 10
{"formula": "Pm3Sm4Er2", "functional": "PBE", "state": "relaxed", "lattice_angstrom": [[5.1044, 0.0000, 0.0000], [0.0000, 8.0287, 0.6400], [-2.5522, -3.0050, 7.0461]], "species": ["Pm", "Pm", "Pm", "Sm", "Sm", "Sm", "Sm", "Er", "Er"], "frac_coords": [[0.8884, 0.3326, 0.7769], [0.1116, 0.6674, 0.2231], [0.0000, 0.0000, 0.0000], [0.5555, 0.3316, 0.1109], [0.7781, 0.6693, 0.5561], [0.4445, 0.6684, 0.8891], [0.2219, 0.3307, 0.4439], [0.3323, 0.0002, 0.6646], [0.6677, 0.9998, 0.3354]], "space_group": "No. 12", "dos_at_fermi_per_ev_atom": 1.51, "total_magnetization_mub_per_atom": 0.00, "e_tot_ev_per_cell": -42.095}

=====

Record 11
{"formula": "PmSm4Er15", "functional": "PBE", "state": "relaxed", "lattice_angstrom": [[-3.3422, 3.7201, -0.2312], [-3.4106, -3.1776, -1.8259], [-7.4943, -5.2911, 23.2065]], "species": ["Pm", "Sm", "Sm", "Sm", "Sm", "Er", "Er", "Er", "Er", "Er", "Er", "Er", "Er", "Er", "Er", "Er", "Er", "Er", "Er", "Er"], "frac_coords": [[0.0000, 0.0000, 0.0000], [0.0000, 0.0000, 0.1999], [0.0000, 0.0000, 0.3999], [0.0000, 0.0000, 0.6001], [0.0000, 0.0000, 0.8001], [0.5000, 0.5000, 0.0000], [0.5000, 0.5000, 0.2000], [0.5000, 0.5000, 0.3999], [0.5000, 0.5000, 0.6001], [0.5000, 0.5000, 0.8000], [0.5000, 0.0000, 0.1001], [0.5000, 0.0000, 0.2999], [0.5000, 0.0000, 0.5000], [0.5000, 0.0000, 0.7001], [0.5000, 0.0000, 0.8999], [0.0000, 0.5000, 0.1001], [0.0000, 0.5000, 0.2999], [0.0000, 0.5000, 0.5000], [0.0000, 0.5000, 0.7001], [0.0000, 0.5000, 0.8999]], "space_group": "No. 123", "dos_at_fermi_per_ev_atom": 1.34, "total_magnetization_mub_per_atom": 0.00, "e_tot_ev_per_cell": -91.630}

=====

Record 12
{"formula": "Pm5SmEr12", "functional": "PBE", "state": "relaxed", "lattice_angstrom": [[-1.3088, 4.8409, 10.1241], [-2.1566, -5.3177, 8.5679], [5.7823, -0.6444, 1.0554]], "species": ["Pm", "Pm", "Pm", "Pm", "Pm", "Sm", "Er", "Er", "Er", "Er", "Er", "Er", "Er", "Er", "Er", "Er", "Er", "Er"], "frac_coords": [[0.5000, 0.0000, 0.5000], [0.1667, 0.6666, 0.5000], [0.8333, 0.3334, 0.5000], [0.6666, 0.6667, 0.0000], [0.3334, 0.3333, 0.0000], [0.0000, 0.0000, 0.0000], [0.8232, 0.0000, 0.4483], [0.1768, 0.0000, 0.5517], [0.6776, 0.0000, 0.9484], [0.3224, 0.0000, 0.0516], [0.3436, 0.6669, 0.9488], [0.9895, 0.6669, 0.0513], [0.0105, 0.3331, 0.9487], [0.6564, 0.3331, 0.0512], [0.5108, 0.3332, 0.5513], [0.8440, 0.6668, 0.5513], [0.1560, 0.3332, 0.4487], [0.4892, 0.6668, 0.4487]], "space_group": "No. 12", "dos_at_fermi_per_ev_atom": 1.75, "total_magnetization_mub_per_atom": 0.00, "e_tot_ev_per_cell": -81.366}